Entry 1:
The following is a GGA-PBE calculation of crystalline Nd2HoCd at its relaxed geometry, from Alexandria via LeMat-Bulk.

Calculated values
crystal system = trigonal
total moment = 0.00 μB/cell
calculated formation energy = -0.0481 eV/atom

a b c (Å): 3.6488 3.6488 33.1148
angles (deg): 90.00 90.00 120.00
Space group R3m (No. 160, hexagonal axes)
One atom of each set of equivalent atoms:
Nd 0.0000 0.0000 0.0000 (multiplicity 3)
Nd 0.0000 0.0000 0.1749 (multiplicity 3)
Ho 0.0000 0.0000 0.7543 (multiplicity 3)
Cd 0.0000 0.0000 0.5874 (multiplicity 3)

Entry 2:
The following is a GGA-PBE calculation of crystalline HgSbRh2 at its relaxed geometry, from Alexandria via LeMat-Bulk.

Calculated values
uncorrected formation energy = 22 kJ/mol of atoms
crystal system = cubic
total moment = 0.00 μB/cell

a b c (Å): 6.616 6.616 6.616
angles (deg): 90.00 90.00 90.00
Space group F-43m (No. 216)
One atom of each set of equivalent atoms:
Hg 0.000 0.000 0.000 (multiplicity 4)
Sb 0.250 0.250 0.250 (multiplicity 4)
Rh 0.000 0.000 0.500 (multiplicity 4)
Rh 0.250 0.250 0.750 (multiplicity 4)

Entry 3:
The following is a GGA-PBE calculation of crystalline TaBe2Tl at its relaxed geometry, from Alexandria via LeMat-Bulk.

Calculated values
crystal system = orthorhombic
total moment = 0.00 μB/cell
calculated formation energy = 0.4117 eV/atom

a b c (Å): 2.985 3.667 5.856
angles (deg): 90.00 90.00 90.00
Space group Pmmm (No. 47)
One atom of each set of equivalent atoms:
Ta 0.000 0.000 0.000 (multiplicity 1)
Be 0.500 0.500 0.181 (multiplicity 2)
Tl 0.000 0.000 0.500 (multiplicity 1)

Number 1: total energy -3.8053 eV/atom. Number 2: total energy -4.5535 eV/atom. Number 3: total energy -5.0061 eV/atom.